# 1
LiZr2Mo: relaxed, GGA-PBE.

Structure (POSCAR):
```
LiZr2Mo
1.0
2.924 0.000 0.000
0.000 4.859 0.000
-1.041 0.000 5.394
Li Zr Mo
1 2 1
direct
0.000 0.000 0.000 Li
0.366 0.500 0.797 Zr
0.631 0.000 0.463 Zr
0.936 0.500 0.303 Mo
```

Properties
Space group: Pm, No. 6
DOS at the Fermi energy (states/eV/cell): 3.829
Formation energy from the elements (eV/f.u.): 0.978
Spin magnetization (μB/atom): 0.0000

=====

# 2
LiZr2Mo: relaxed, GGA-PBE.

Structure (POSCAR):
```
LiZr2Mo
1.0
3.406 0.000 0.000
0.000 3.406 0.000
0.000 0.000 6.715
Li Zr Mo
1 2 1
direct
0.000 0.000 0.000 Li
0.500 0.500 0.270 Zr
0.500 0.500 0.730 Zr
0.000 0.000 0.500 Mo
```

Properties
Space group: P4/mmm, No. 123
DOS at the Fermi energy (states/eV/cell): 4.506
Formation energy from the elements (eV/f.u.): 0.328
Spin magnetization (μB/atom): 0.0000

=====

# 3
LiZr2Mo: relaxed, GGA-PBE.

Structure (POSCAR):
```
LiZr2Mo
1.0
3.150 -4.566 0.000
3.150 4.566 0.000
-0.715 0.000 2.648
Li Zr Mo
1 2 1
direct
0.000 0.000 0.000 Li
0.000 0.500 0.500 Zr
0.500 0.000 0.500 Zr
0.500 0.500 0.000 Mo
```

Properties
Space group: C2/m, No. 12
DOS at the Fermi energy (states/eV/cell): 3.336
Formation energy from the elements (eV/f.u.): 1.017
Spin magnetization (μB/atom): 0.0000

=====

# 4
LiZr2Mo: relaxed, GGA-PBE.

Structure (POSCAR):
```
LiZr2Mo
1.0
3.463 0.000 0.000
0.000 3.463 0.000
0.000 0.000 6.221
Li Zr Mo
1 2 1
direct
0.000 0.000 0.000 Li
0.000 0.000 0.447 Zr
0.500 0.500 0.745 Zr
0.500 0.500 0.224 Mo
```

Properties
Space group: P4mm, No. 99
DOS at the Fermi energy (states/eV/cell): 4.381
Formation energy from the elements (eV/f.u.): 1.154
Spin magnetization (μB/atom): 0.0000

=====

Computed total DFT energy (no corrections) (eV per cell) in order:
-28.9 -29.5 -28.8 -28.7